Below is a relaxed ReW2Se crystal, with properties calculated at the PBE level.

Values from the calculation:
Formation energy without anion corrections: 0.788 eV/atom
Total moment: 0.0 μB per formula unit
D(E_F): 0.9939 states/eV/atom

Cell lengths 5.2089, 5.2089, 5.2089 Å; angles 137.45, 137.45, 61.75 degrees
Last column: nearest neighbours and their distance in Å.
Positions (direct):
Re 0.5000 0.5000 0.0000  8 W 2.67-2.93, 4 Se 2.93
Se 0.7500 0.2500 0.5000  8 W 2.67-2.93, 4 Re 2.93
W 0.0000 0.0000 0.0000  4 Re 2.67, 4 W 2.93, 4 Se 2.93
W 0.2500 0.7500 0.5000  4 Se 2.67, 4 Re 2.93, 4 W 2.93